No. 1
Entry from the Alexandria database: a crystal of CdTePtI2 relaxed with PBEsol (meta-GGA SCAN).

Output
ΔE_f (raw)	0.17	eV/atom
electronic total energy	-42.10	eV per atom

CIF file:
```
data_CdTePtI2
_chemical_formula_sum 'Cd1 Te1 Pt1 I2'
_cell_length_a 5.4107
_cell_length_b 5.4107
_cell_length_c 5.2575
_cell_angle_alpha 90.00
_cell_angle_beta 90.00
_cell_angle_gamma 90.00
_symmetry_space_group_name_H-M 'P 4/m m m'
_symmetry_Int_Tables_number 123
_symmetry_space_group_name_Hall '-P 4 2'
loop_
_atom_site_label
_atom_site_type_symbol
_atom_site_fract_x
_atom_site_fract_y
_atom_site_fract_z
Cd1 Cd 0.0000 0.0000 0.0000
Te1 Te 0.5000 0.5000 0.0000
Pt1 Pt 0.5000 0.5000 0.5000
I1 I 0.0000 0.5000 0.5000
```



No. 2
Entry from the Alexandria database: a crystal of Li3VF6 relaxed with PBEsol (meta-GGA SCAN).

Output
ΔE_f (raw)	-3.18	eV/atom
electronic total energy	-7.77	eV per atom
excess energy over the best structure of this formula in the dataset	21	meV per atom

CIF file:
```
data_Li3VF6
_chemical_formula_sum 'Li6 V2 F12'
_cell_length_a 5.0252
_cell_length_b 5.1204
_cell_length_c 9.0545
_cell_angle_alpha 90.00
_cell_angle_beta 123.29
_cell_angle_gamma 90.00
_symmetry_space_group_name_H-M 'P 1 21/c 1'
_symmetry_Int_Tables_number 14
_symmetry_space_group_name_Hall '-P 2ybc'
loop_
_atom_site_label
_atom_site_type_symbol
_atom_site_fract_x
_atom_site_fract_y
_atom_site_fract_z
Li1 Li 0.0000 0.0000 0.0000
Li2 Li 0.2387 0.0363 0.7362
V1 V 0.5000 0.0000 0.5000
F1 F 0.1149 0.1764 0.4415
F2 F 0.2519 0.6851 0.4155
F3 F 0.3982 0.0912 0.2647
```



No. 3
Entry from the Alexandria database: a crystal of Sc5Ru3 relaxed with PBEsol (meta-GGA SCAN).

Output
energy of formation from the pure elements	-3.83	eV/f.u.
electronic total energy	-22.44	eV per atom
excess energy over the best structure of this formula in the dataset	53	meV per atom

CIF file:
```
data_Sc5Ru3
_chemical_formula_sum 'Sc10 Ru6'
_cell_length_a 6.7069
_cell_length_b 9.3121
_cell_length_c 4.4109
_cell_angle_alpha 90.00
_cell_angle_beta 90.00
_cell_angle_gamma 90.00
_symmetry_space_group_name_H-M 'C m m m'
_symmetry_Int_Tables_number 65
_symmetry_space_group_name_Hall '-C 2 2'
loop_
_atom_site_label
_atom_site_type_symbol
_atom_site_fract_x
_atom_site_fract_y
_atom_site_fract_z
Sc1 Sc 0.0000 0.0000 0.0000
Sc2 Sc 0.2211 0.5000 0.5000
Sc3 Sc 0.2500 0.2500 0.0000
Ru1 Ru 0.0000 0.2321 0.5000
Ru2 Ru 0.0000 0.5000 0.0000
```



No. 4
Entry from the Alexandria database: a crystal of BaRh3Pb6 relaxed with PBEsol (meta-GGA SCAN).

Output
energy of formation from the pure elements	-3.09	eV/f.u.
electronic total energy	-59.86	eV per atom

CIF file:
```
data_BaRh3Pb6
_chemical_formula_sum 'Ba4 Rh12 Pb24'
_cell_length_a 8.2033
_cell_length_b 26.9229
_cell_length_c 4.5029
_cell_angle_alpha 90.00
_cell_angle_beta 90.00
_cell_angle_gamma 90.00
_symmetry_space_group_name_H-M 'C m c m'
_symmetry_Int_Tables_number 63
_symmetry_space_group_name_Hall '-C 2c 2'
loop_
_atom_site_label
_atom_site_type_symbol
_atom_site_fract_x
_atom_site_fract_y
_atom_site_fract_z
Ba1 Ba 0.0000 0.0894 0.2500
Rh1 Rh 0.0000 0.4631 0.7500
Rh2 Rh 0.1877 0.2824 0.7500
Pb1 Pb 0.0000 0.2487 0.2500
Pb2 Pb 0.0000 0.3655 0.7500
Pb3 Pb 0.1988 0.1712 0.7500
Pb4 Pb 0.2040 0.4540 0.2500
```



No. 5
Entry from the Alexandria database: a crystal of Na3BiF relaxed with PBEsol (meta-GGA SCAN).

Output
ΔE_f (raw)	-1.32	eV/atom
electronic total energy	-20.28	eV per atom

CIF file:
```
data_Na3BiF
_chemical_formula_sum 'Na3 Bi1 F1'
_cell_length_a 4.7519
_cell_length_b 4.7519
_cell_length_c 4.7519
_cell_angle_alpha 90.00
_cell_angle_beta 90.00
_cell_angle_gamma 90.00
_symmetry_space_group_name_H-M 'P m -3 m'
_symmetry_Int_Tables_number 221
_symmetry_space_group_name_Hall '-P 4 2 3'
loop_
_atom_site_label
_atom_site_type_symbol
_atom_site_fract_x
_atom_site_fract_y
_atom_site_fract_z
Na1 Na 0.0000 0.0000 0.5000
Bi1 Bi 0.5000 0.5000 0.5000
F1 F 0.0000 0.0000 0.0000
```



No. 6
Entry from the Alexandria database: a crystal of Na2FeNi relaxed with PBEsol (meta-GGA SCAN).

Output
energy of formation from the pure elements	3.83	eV/f.u.
electronic total energy	-9.73	eV per atom

CIF file:
```
data_Na2FeNi
_chemical_formula_sum 'Na8 Fe4 Ni4'
_cell_length_a 6.5245
_cell_length_b 6.5245
_cell_length_c 6.5245
_cell_angle_alpha 90.00
_cell_angle_beta 90.00
_cell_angle_gamma 90.00
_symmetry_space_group_name_H-M 'F m -3 m'
_symmetry_Int_Tables_number 225
_symmetry_space_group_name_Hall '-F 4 2 3'
loop_
_atom_site_label
_atom_site_type_symbol
_atom_site_fract_x
_atom_site_fract_y
_atom_site_fract_z
Na1 Na 0.2500 0.2500 0.2500
Fe1 Fe 0.0000 0.0000 0.0000
Ni1 Ni 0.0000 0.0000 0.5000
```